## Ho7Er12Hf (PBE)

Data for a relaxed Ho7Er12Hf crystal.

Calculated values
The energy of formation from the pure elements is 0.310 eV/atom. The calculation puts the total DFT energy (no corrections) at -4.53 eV/atom. The value obtained for the total magnetization is 0.00 μB per formula unit.

Geometry as CIF:
```
data_Ho7Er12Hf
_chemical_formula_sum 'Ho21 Er36 Hf3'
_symmetry_space_group_name_H-M 'R -3'
_symmetry_Int_Tables_number 148
_symmetry_space_group_name_Hall '-R 3'
_cell_length_a 12.5756
_cell_length_b 12.5756
_cell_length_c 13.5635
_cell_angle_alpha 90.00
_cell_angle_beta 90.00
_cell_angle_gamma 120.00
loop_
_atom_site_label
_atom_site_fract_x
_atom_site_fract_y
_atom_site_fract_z
Ho1 0.0000 0.0000 0.0000
Ho2 0.0672 0.1973 0.3514
Er1 0.0000 0.4356 0.2504
Er2 0.0667 0.8668 0.8476
Hf1 0.0000 0.0000 0.5000
```

=====

## HoEr2Hf (PBE)

Data for a relaxed HoEr2Hf crystal.

Calculated values
The energy of formation from the pure elements is 0.352 eV/atom. The calculation puts the total DFT energy (no corrections) at -5.56 eV/atom. The value obtained for the total magnetization is 0.00 μB per formula unit.

Geometry as CIF:
```
data_HoEr2Hf
_chemical_formula_sum 'Ho3 Er6 Hf3'
_symmetry_space_group_name_H-M 'R -3 m'
_symmetry_Int_Tables_number 166
_symmetry_space_group_name_Hall '-R 3 2"'
_cell_length_a 3.3145
_cell_length_b 3.3145
_cell_length_c 35.7189
_cell_angle_alpha 90.00
_cell_angle_beta 90.00
_cell_angle_gamma 120.00
loop_
_atom_site_label
_atom_site_fract_x
_atom_site_fract_y
_atom_site_fract_z
Ho1 0.0000 0.0000 0.0000
Er1 0.0000 0.0000 0.4131
Hf1 0.0000 0.0000 0.5000
```

=====

## Ho2ErHf (PBE)

Data for a relaxed Ho2ErHf crystal.

Calculated values
The energy of formation from the pure elements is 0.133 eV/atom. The calculation puts the total DFT energy (no corrections) at -5.78 eV/atom. The value obtained for the total magnetization is 0.00 μB per formula unit.

Geometry as CIF:
```
data_Ho2ErHf
_chemical_formula_sum 'Ho2 Er1 Hf1'
_symmetry_space_group_name_H-M 'P 4/m m m'
_symmetry_Int_Tables_number 123
_symmetry_space_group_name_Hall '-P 4 2'
_cell_length_a 4.817
_cell_length_b 4.817
_cell_length_c 4.810
_cell_angle_alpha 90.00
_cell_angle_beta 90.00
_cell_angle_gamma 90.00
loop_
_atom_site_label
_atom_site_fract_x
_atom_site_fract_y
_atom_site_fract_z
Ho1 0.000 0.500 0.000
Er1 0.000 0.000 0.500
Hf1 0.500 0.500 0.500
```